# LaHo2Sb3, optimized geometry, DFT PBE-GGA
# E	-0.409	Ry/atom
# N(E_F)	1.06	states/eV/cell
# formation energy from raw total energies	-1.1522	eV/atom
# crystal system	orthorhombic
# total magnetic moment	0.00	μB/cell
# space group	Immm
data_LaHo2Sb3
_space_group_name_H-M_alt 'P 1'
_space_group_IT_number 1
_cell_length_a 4.4587
_cell_length_b 6.3193
_cell_length_c 7.7128
_cell_angle_alpha 114.18
_cell_angle_beta 106.80
_cell_angle_gamma 90.00
loop_
_space_group_symop_operation_xyz
'x,y,z'
loop_
_atom_site_label
_atom_site_type_symbol
_atom_site_fract_x
_atom_site_fract_y
_atom_site_fract_z
_atom_site_occupancy
La1 La 0.0000 0.5000 0.0000 1
Ho1 Ho 0.6646 0.1646 0.3292 1
Ho2 Ho 0.3354 0.8354 0.6708 1
Sb1 Sb 0.3254 0.3254 0.6509 1
Sb2 Sb 0.0000 0.0000 0.0000 1
Sb3 Sb 0.6746 0.6746 0.3491 1